Version A
# GGA-PBE Li5CdGa2, optimized geometry
# ρ = 3.55 g cm⁻³
# D(E_F) = 3.2 states/eV/cell
# total magnetic moment = 0.00 μB per cell
data_Li5CdGa2
_chemical_formula_sum 'Li10 Cd2 Ga4'
_symmetry_space_group_name_H-M 'I 4/m m m'
_symmetry_Int_Tables_number 139
_symmetry_space_group_name_Hall '-I 4 2'
_cell_length_a 4.177
_cell_length_b 4.177
_cell_length_c 15.358
_cell_angle_alpha 90.00
_cell_angle_beta 90.00
_cell_angle_gamma 90.00
loop_
_atom_site_label
_atom_site_type_symbol
_atom_site_fract_x
_atom_site_fract_y
_atom_site_fract_z
Li1 Li 0.000 0.000 0.000
Li2 Li 0.000 0.500 0.136
Cd1 Cd 0.000 0.000 0.500
Ga1 Ga 0.000 0.000 0.250

=====

Version B
# GGA-PBE Li5CdGa2, optimized geometry
# ρ = 3.60 g cm⁻³
# D(E_F) = 3.2 states/eV/cell
# total magnetic moment = 0.00 μB per cell
data_Li5CdGa2
_chemical_formula_sum 'Li5 Cd1 Ga2'
_symmetry_space_group_name_H-M 'P -1'
_symmetry_Int_Tables_number 2
_symmetry_space_group_name_Hall '-P 1'
_cell_length_a 5.548
_cell_length_b 5.556
_cell_length_c 5.560
_cell_angle_alpha 108.31
_cell_angle_beta 109.08
_cell_angle_gamma 110.92
loop_
_atom_site_label
_atom_site_type_symbol
_atom_site_fract_x
_atom_site_fract_y
_atom_site_fract_z
Li1 Li 0.000 0.000 0.000
Li2 Li 0.000 0.000 0.500
Li3 Li 0.000 0.500 0.000
Li4 Li 0.500 0.000 0.000
Li5 Li 0.500 0.500 0.500
Cd1 Cd 0.000 0.500 0.500
Ga1 Ga 0.500 0.000 0.500
Ga2 Ga 0.500 0.500 0.000

=====

The least stable of them is version B.

=====

Version A
# GGA-PBE Li3Cd2Ga2, optimized geometry
# ρ = 5.07 g cm⁻³
# D(E_F) = 2.9 states/eV/cell
# total magnetic moment = 0.00 μB per cell
data_Li3Cd2Ga2
_chemical_formula_sum 'Li6 Cd4 Ga4'
_symmetry_space_group_name_H-M 'C 1 2/m 1'
_symmetry_Int_Tables_number 12
_symmetry_space_group_name_Hall '-C 2y'
_cell_length_a 8.709
_cell_length_b 4.362
_cell_length_c 6.840
_cell_angle_alpha 90.00
_cell_angle_beta 103.99
_cell_angle_gamma 90.00
loop_
_atom_site_label
_atom_site_type_symbol
_atom_site_fract_x
_atom_site_fract_y
_atom_site_fract_z
Li1 Li 0.000 0.000 0.000
Li2 Li 0.205 0.500 0.155
Cd1 Cd 0.131 0.000 0.406
Ga1 Ga 0.088 0.500 0.734

=====

Version B
# GGA-PBE Li3Cd2Ga2, optimized geometry
# ρ = 5.24 g cm⁻³
# D(E_F) = 3.0 states/eV/cell
# total magnetic moment = 0.00 μB per cell
data_Li3Cd2Ga2
_chemical_formula_sum 'Li6 Cd4 Ga4'
_symmetry_space_group_name_H-M 'C 1 2/m 1'
_symmetry_Int_Tables_number 12
_symmetry_space_group_name_Hall '-C 2y'
_cell_length_a 7.963
_cell_length_b 4.595
_cell_length_c 7.186
_cell_angle_alpha 90.00
_cell_angle_beta 111.70
_cell_angle_gamma 90.00
loop_
_atom_site_label
_atom_site_type_symbol
_atom_site_fract_x
_atom_site_fract_y
_atom_site_fract_z
Li1 Li 0.000 0.000 0.000
Li2 Li 0.141 0.000 0.423
Cd1 Cd 0.221 0.500 0.162
Ga1 Ga 0.067 0.500 0.705

=====

The least stable of them is version A.

=====

Version A
# GGA-PBE Li4Cd5Ga2, optimized geometry
# ρ = 5.77 g cm⁻³
# D(E_F) = 3.1 states/eV/cell
# total magnetic moment = 0.00 μB per cell
data_Li4Cd5Ga2
_chemical_formula_sum 'Li4 Cd5 Ga2'
_symmetry_space_group_name_H-M 'P 1 2/m 1'
_symmetry_Int_Tables_number 10
_symmetry_space_group_name_Hall '-P 2y'
_cell_length_a 7.402
_cell_length_b 3.089
_cell_length_c 9.224
_cell_angle_alpha 90.00
_cell_angle_beta 96.01
_cell_angle_gamma 90.00
loop_
_atom_site_label
_atom_site_type_symbol
_atom_site_fract_x
_atom_site_fract_y
_atom_site_fract_z
Li1 Li 0.188 0.000 0.367
Li2 Li 0.248 0.000 0.928
Cd1 Cd 0.160 0.500 0.642
Cd2 Cd 0.455 0.500 0.172
Cd3 Cd 0.500 0.500 0.500
Ga1 Ga 0.072 0.500 0.131

=====

Version B
# GGA-PBE Li4Cd5Ga2, optimized geometry
# ρ = 5.91 g cm⁻³
# D(E_F) = 3.7 states/eV/cell
# total magnetic moment = 0.00 μB per cell
data_Li4Cd5Ga2
_chemical_formula_sum 'Li4 Cd5 Ga2'
_symmetry_space_group_name_H-M 'P -1'
_symmetry_Int_Tables_number 2
_symmetry_space_group_name_Hall '-P 1'
_cell_length_a 4.757
_cell_length_b 5.389
_cell_length_c 8.260
_cell_angle_alpha 92.83
_cell_angle_beta 104.34
_cell_angle_gamma 91.06
loop_
_atom_site_label
_atom_site_type_symbol
_atom_site_fract_x
_atom_site_fract_y
_atom_site_fract_z
Li1 Li 0.051 0.288 0.096
Li2 Li 0.320 0.896 0.643
Cd1 Cd 0.136 0.830 0.268
Cd2 Cd 0.230 0.343 0.459
Cd3 Cd 0.500 0.000 0.000
Ga1 Ga 0.410 0.459 0.828

=====

The least stable of them is version B.

=====

Version A
# GGA-PBE Li3Cd6Ga2, optimized geometry
# ρ = 5.68 g cm⁻³
# D(E_F) = 9.8 states/eV/cell
# total magnetic moment = 0.00 μB per cell
data_Li3Cd6Ga2
_chemical_formula_sum 'Li6 Cd12 Ga4'
_symmetry_space_group_name_H-M 'I 4/m m m'
_symmetry_Int_Tables_number 139
_symmetry_space_group_name_Hall '-I 4 2'
_cell_length_a 4.234
_cell_length_b 4.234
_cell_length_c 27.231
_cell_angle_alpha 90.00
_cell_angle_beta 90.00
_cell_angle_gamma 90.00
loop_
_atom_site_label
_atom_site_type_symbol
_atom_site_fract_x
_atom_site_fract_y
_atom_site_fract_z
Li1 Li 0.000 0.000 0.000
Li2 Li 0.000 0.000 0.154
Cd1 Cd 0.000 0.000 0.264
Cd2 Cd 0.000 0.500 0.065
Ga1 Ga 0.000 0.000 0.363

=====

Version B
# GGA-PBE Li3Cd6Ga2, optimized geometry
# ρ = 6.27 g cm⁻³
# D(E_F) = 2.8 states/eV/cell
# total magnetic moment = 0.00 μB per cell
data_Li3Cd6Ga2
_chemical_formula_sum 'Li3 Cd6 Ga2'
_symmetry_space_group_name_H-M 'P -1'
_symmetry_Int_Tables_number 2
_symmetry_space_group_name_Hall '-P 1'
_cell_length_a 5.471
_cell_length_b 5.903
_cell_length_c 7.479
_cell_angle_alpha 109.42
_cell_angle_beta 95.19
_cell_angle_gamma 100.34
loop_
_atom_site_label
_atom_site_type_symbol
_atom_site_fract_x
_atom_site_fract_y
_atom_site_fract_z
Li1 Li 0.000 0.000 0.000
Li2 Li 0.264 0.152 0.477
Cd1 Cd 0.095 0.375 0.824
Cd2 Cd 0.216 0.700 0.555
Cd3 Cd 0.455 0.867 0.149
Ga1 Ga 0.387 0.391 0.214

=====

The least stable of them is version A.

=====

Version A
# GGA-PBE LiMgCdGa, optimized geometry
# ρ = 4.41 g cm⁻³
# D(E_F) = 2.9 states/eV/cell
# total magnetic moment = 0.00 μB per cell
data_LiMgCdGa
_chemical_formula_sum 'Li2 Mg2 Cd2 Ga2'
_symmetry_space_group_name_H-M 'C 1 m 1'
_symmetry_Int_Tables_number 8
_symmetry_space_group_name_Hall 'C -2y'
_cell_length_a 9.126
_cell_length_b 2.966
_cell_length_c 5.940
_cell_angle_alpha 90.00
_cell_angle_beta 91.11
_cell_angle_gamma 90.00
loop_
_atom_site_label
_atom_site_type_symbol
_atom_site_fract_x
_atom_site_fract_y
_atom_site_fract_z
Li1 Li 0.000 0.000 0.000
Mg1 Mg 0.047 0.500 0.535
Cd1 Cd 0.274 0.000 0.254
Ga1 Ga 0.276 0.000 0.770

=====

Version B
# GGA-PBE LiMgCdGa, optimized geometry
# ρ = 4.66 g cm⁻³
# D(E_F) = 6.2 states/eV/cell
# total magnetic moment = 0.00 μB per cell
data_LiMgCdGa
_chemical_formula_sum 'Li4 Mg4 Cd4 Ga4'
_symmetry_space_group_name_H-M 'F -4 3 m'
_symmetry_Int_Tables_number 216
_symmetry_space_group_name_Hall 'F -4 2 3'
_cell_length_a 6.726
_cell_length_b 6.726
_cell_length_c 6.726
_cell_angle_alpha 90.00
_cell_angle_beta 90.00
_cell_angle_gamma 90.00
loop_
_atom_site_label
_atom_site_type_symbol
_atom_site_fract_x
_atom_site_fract_y
_atom_site_fract_z
Li1 Li 0.000 0.000 0.000
Mg1 Mg 0.000 0.000 0.500
Cd1 Cd 0.250 0.250 0.250
Ga1 Ga 0.250 0.250 0.750

=====

The least stable of them is version A.

=====

Version A
# GGA-PBE Mg6CdGa5, optimized geometry
# ρ = 4.26 g cm⁻³
# D(E_F) = 4.7 states/eV/cell
# total magnetic moment = 0.00 μB per cell
data_Mg6CdGa5
_chemical_formula_sum 'Mg6 Cd1 Ga5'
_symmetry_space_group_name_H-M 'P 1 2/m 1'
_symmetry_Int_Tables_number 10
_symmetry_space_group_name_Hall '-P 2y'
_cell_length_a 5.004
_cell_length_b 6.476
_cell_length_c 7.347
_cell_angle_alpha 90.00
_cell_angle_beta 96.12
_cell_angle_gamma 90.00
loop_
_atom_site_label
_atom_site_type_symbol
_atom_site_fract_x
_atom_site_fract_y
_atom_site_fract_z
Mg1 Mg 0.000 0.244 0.000
Mg2 Mg 0.330 0.247 0.662
Cd1 Cd 0.500 0.500 0.000
Ga1 Ga 0.162 0.500 0.334
Ga2 Ga 0.169 0.000 0.335
Ga3 Ga 0.500 0.000 0.000

=====

Version B
# GGA-PBE Mg6CdGa5, optimized geometry
# ρ = 4.17 g cm⁻³
# D(E_F) = 7.0 states/eV/cell
# total magnetic moment = 0.00 μB per cell
data_Mg6CdGa5
_chemical_formula_sum 'Mg12 Cd2 Ga10'
_symmetry_space_group_name_H-M 'C 1 2/m 1'
_symmetry_Int_Tables_number 12
_symmetry_space_group_name_Hall '-C 2y'
_cell_length_a 5.513
_cell_length_b 9.475
_cell_length_c 9.455
_cell_angle_alpha 90.00
_cell_angle_beta 101.62
_cell_angle_gamma 90.00
loop_
_atom_site_label
_atom_site_type_symbol
_atom_site_fract_x
_atom_site_fract_y
_atom_site_fract_z
Mg1 Mg 0.245 0.000 0.249
Mg2 Mg 0.247 0.169 0.750
Cd1 Cd 0.000 0.500 0.000
Ga1 Ga 0.000 0.000 0.500
Ga2 Ga 0.000 0.167 0.000
Ga3 Ga 0.000 0.334 0.500

=====

The least stable of them is version B.

=====

Version A
# GGA-PBE Mg6CdGa3, optimized geometry
# ρ = 3.57 g cm⁻³
# D(E_F) = 12.4 states/eV/cell
# total magnetic moment = 0.00 μB per cell
data_Mg6CdGa3
_chemical_formula_sum 'Mg24 Cd4 Ga12'
_symmetry_space_group_name_H-M 'C m c 21'
_symmetry_Int_Tables_number 36
_symmetry_space_group_name_Hall 'C 2c -2'
_cell_length_a 9.973
_cell_length_b 13.986
_cell_length_c 6.227
_cell_angle_alpha 90.00
_cell_angle_beta 90.00
_cell_angle_gamma 90.00
loop_
_atom_site_label
_atom_site_type_symbol
_atom_site_fract_x
_atom_site_fract_y
_atom_site_fract_z
Mg1 Mg 0.000 0.050 0.000
Mg2 Mg 0.000 0.277 0.834
Mg3 Mg 0.196 0.475 0.823
Mg4 Mg 0.241 0.302 0.509
Cd1 Cd 0.000 0.221 0.289
Ga1 Ga 0.000 0.411 0.512
Ga2 Ga 0.141 0.119 0.625

=====

Version B
# GGA-PBE Mg6CdGa3, optimized geometry
# ρ = 3.78 g cm⁻³
# D(E_F) = 5.4 states/eV/cell
# total magnetic moment = 0.00 μB per cell
data_Mg6CdGa3
_chemical_formula_sum 'Mg12 Cd2 Ga6'
_symmetry_space_group_name_H-M 'P 1 21/m 1'
_symmetry_Int_Tables_number 11
_symmetry_space_group_name_Hall '-P 2yb'
_cell_length_a 9.227
_cell_length_b 4.529
_cell_length_c 10.009
_cell_angle_alpha 90.00
_cell_angle_beta 100.54
_cell_angle_gamma 90.00
loop_
_atom_site_label
_atom_site_type_symbol
_atom_site_fract_x
_atom_site_fract_y
_atom_site_fract_z
Mg1 Mg 0.068 0.250 0.412
Mg2 Mg 0.148 0.750 0.176
Mg3 Mg 0.231 0.250 0.986
Mg4 Mg 0.313 0.750 0.780
Mg5 Mg 0.367 0.250 0.293
Mg6 Mg 0.410 0.250 0.602
Cd1 Cd 0.456 0.750 0.097
Ga1 Ga 0.040 0.750 0.879
Ga2 Ga 0.114 0.250 0.701
Ga3 Ga 0.282 0.750 0.463

=====

The least stable of them is version A.

=====

Version A
# GGA-PBE MgCdGa4, optimized geometry
# ρ = 5.78 g cm⁻³
# D(E_F) = 3.9 states/eV/cell
# total magnetic moment = 0.00 μB per cell
data_MgCdGa4
_chemical_formula_sum 'Mg2 Cd2 Ga8'
_symmetry_space_group_name_H-M 'C 1 2/m 1'
_symmetry_Int_Tables_number 12
_symmetry_space_group_name_Hall '-C 2y'
_cell_length_a 7.214
_cell_length_b 9.297
_cell_length_c 4.384
_cell_angle_alpha 90.00
_cell_angle_beta 125.71
_cell_angle_gamma 90.00
loop_
_atom_site_label
_atom_site_type_symbol
_atom_site_fract_x
_atom_site_fract_y
_atom_site_fract_z
Mg1 Mg 0.000 0.000 0.000
Cd1 Cd 0.000 0.500 0.500
Ga1 Ga 0.246 0.163 0.746

=====

Version B
# GGA-PBE MgCdGa4, optimized geometry
# ρ = 5.76 g cm⁻³
# D(E_F) = 4.5 states/eV/cell
# total magnetic moment = 0.00 μB per cell
data_MgCdGa4
_chemical_formula_sum 'Mg2 Cd2 Ga8'
_symmetry_space_group_name_H-M 'P 1 2/c 1'
_symmetry_Int_Tables_number 13
_symmetry_space_group_name_Hall '-P 2yc'
_cell_length_a 6.195
_cell_length_b 7.755
_cell_length_c 5.168
_cell_angle_alpha 90.00
_cell_angle_beta 105.24
_cell_angle_gamma 90.00
loop_
_atom_site_label
_atom_site_type_symbol
_atom_site_fract_x
_atom_site_fract_y
_atom_site_fract_z
Mg1 Mg 0.000 0.250 0.250
Cd1 Cd 0.500 0.249 0.250
Ga1 Ga 0.240 0.075 0.751
Ga2 Ga 0.241 0.425 0.751

=====

The least stable of them is version B.